1.
AcPmPr2Bi4 | Alexandria | GGA-PBE | optimized geometry; ρ = 8.48 Mg/m³; formation energy from the elements = -92 kJ/mol of atoms
1.0
4.691 0.000 0.000
0.000 8.120 -0.164
0.000 2.855 7.602
Ac Pm Pr Bi
1 1 2 4
direct
0.000 0.500 0.500
0.500 0.500 0.000
0.000 0.000 0.000
0.500 0.000 0.500
0.000 0.751 0.757
0.000 0.249 0.243
0.500 0.757 0.240
0.500 0.243 0.760

2.
SrTaIn2 | Alexandria | GGA-PBE | optimized geometry; ρ = 8.40 Mg/m³; formation energy from the elements = 36 kJ/mol of atoms
1.0
6.045 0.012 -0.041
5.241 3.013 -0.041
1.560 0.418 5.415
In Sr Ta
2 1 1
direct
0.014 0.014 0.059
0.732 0.732 0.704
0.487 0.487 0.559
0.267 0.267 0.178

3.
Al2ReNi | Alexandria | GGA-PBE | optimized geometry; ρ = 9.03 Mg/m³; formation energy from the elements = -21 kJ/mol of atoms; E above lowest polymorph = 0.152 eV/atom
1.0
4.036 0.000 0.000
0.000 2.683 0.000
0.000 0.508 5.073
Re Al Ni
1 2 1
direct
0.500 0.750 0.750
0.000 0.105 0.003
0.000 0.395 0.497
0.500 0.250 0.250